[1]
# DyTmOs (PBE, relaxed)
data_DyTmOs
_chemical_formula_sum 'Dy1 Tm1 Os1'
_cell_length_a 3.374
_cell_length_b 3.374
_cell_length_c 6.936
_cell_angle_alpha 104.08
_cell_angle_beta 104.08
_cell_angle_gamma 90.00
_symmetry_space_group_name_H-M 'P 1'
_symmetry_Int_Tables_number 1
_symmetry_space_group_name_Hall 'P 1'
loop_
_atom_site_label
_atom_site_fract_x
_atom_site_fract_y
_atom_site_fract_z
Tm1 0.041 0.041 0.083
Os1 0.665 0.665 0.331
Dy1 0.293 0.293 0.587
# - Total moment: 0.0 μB/f.u.
# - Energy relative to the elements: -0.270 eV per atom
# - Density of states at the Fermi level: 1.30 states/eV/cell
# - Space-group type: I4mm (107)
# - Theoretical density: 11.68 Mg/m³
# - Calculated volume: 24.72 A^3/atom
# - Relative energy among the computed polymorphs: 0 meV/atom

[2]
# DyTm2Os (PBE, relaxed)
data_DyTm2Os
_chemical_formula_sum 'Dy1 Tm2 Os1'
_cell_length_a 3.366
_cell_length_b 3.366
_cell_length_c 9.059
_cell_angle_alpha 90.00
_cell_angle_beta 90.00
_cell_angle_gamma 90.00
_symmetry_space_group_name_H-M 'P 1'
_symmetry_Int_Tables_number 1
_symmetry_space_group_name_Hall 'P 1'
loop_
_atom_site_label
_atom_site_fract_x
_atom_site_fract_y
_atom_site_fract_z
Tm1 0.000 0.000 0.820
Tm2 0.000 0.000 0.180
Os1 0.500 0.500 0.000
Dy1 0.500 0.500 0.500
# - Total moment: 0.0 μB/f.u.
# - Energy relative to the elements: -0.169 eV per atom
# - Density of states at the Fermi level: 3.12 states/eV/cell
# - Space-group type: P4/mmm (123)
# - Theoretical density: 11.17 Mg/m³
# - Calculated volume: 25.66 A^3/atom
# - Relative energy among the computed polymorphs: 127 meV/atom

[3]
# DyTm6Os2 (PBE, relaxed)
data_DyTm6Os2
_chemical_formula_sum 'Dy1 Tm6 Os2'
_cell_length_a 3.938
_cell_length_b 7.695
_cell_length_c 8.588
_cell_angle_alpha 78.19
_cell_angle_beta 76.75
_cell_angle_gamma 75.17
_symmetry_space_group_name_H-M 'P 1'
_symmetry_Int_Tables_number 1
_symmetry_space_group_name_Hall 'P 1'
loop_
_atom_site_label
_atom_site_fract_x
_atom_site_fract_y
_atom_site_fract_z
Dy1 0.000 0.500 0.500
Tm1 0.011 0.169 0.810
Tm2 0.274 0.341 0.110
Tm3 0.726 0.659 0.890
Tm4 0.310 0.825 0.555
Tm5 0.690 0.175 0.445
Tm6 0.989 0.831 0.190
Os1 0.396 0.451 0.757
Os2 0.604 0.549 0.243
# - Total moment: 0.0 μB/f.u.
# - Energy relative to the elements: -0.164 eV per atom
# - Density of states at the Fermi level: 7.77 states/eV/cell
# - Space-group type: C2/m (12)
# - Theoretical density: 10.68 Mg/m³
# - Calculated volume: 26.88 A^3/atom

[4]
# DyTmOs (PBE, relaxed)
data_DyTmOs
_chemical_formula_sum 'Dy2 Tm2 Os2'
_cell_length_a 8.151
_cell_length_b 8.151
_cell_length_c 5.132
_cell_angle_alpha 90.00
_cell_angle_beta 90.00
_cell_angle_gamma 155.62
_symmetry_space_group_name_H-M 'P 1'
_symmetry_Int_Tables_number 1
_symmetry_space_group_name_Hall 'P 1'
loop_
_atom_site_label
_atom_site_fract_x
_atom_site_fract_y
_atom_site_fract_z
Dy1 0.928 0.072 0.250
Dy2 0.072 0.928 0.750
Tm1 0.210 0.790 0.250
Tm2 0.790 0.210 0.750
Os1 0.575 0.425 0.250
Os2 0.425 0.575 0.750
# - Total moment: 0.0 μB/f.u.
# - Energy relative to the elements: -0.144 eV per atom
# - Density of states at the Fermi level: 3.57 states/eV/cell
# - Space-group type: Cmcm (63)
# - Theoretical density: 12.31 Mg/m³
# - Calculated volume: 23.46 A^3/atom
# - Relative energy among the computed polymorphs: 125 meV/atom

[5]
# DyTmOs (PBE, relaxed)
data_DyTmOs
_chemical_formula_sum 'Dy1 Tm1 Os1'
_cell_length_a 4.748
_cell_length_b 4.748
_cell_length_c 4.748
_cell_angle_alpha 60.00
_cell_angle_beta 60.00
_cell_angle_gamma 60.00
_symmetry_space_group_name_H-M 'P 1'
_symmetry_Int_Tables_number 1
_symmetry_space_group_name_Hall 'P 1'
loop_
_atom_site_label
_atom_site_fract_x
_atom_site_fract_y
_atom_site_fract_z
Tm1 0.000 0.000 0.000
Os1 0.250 0.250 0.250
Dy1 0.500 0.500 0.500
# - Total moment: 0.0 μB/f.u.
# - Energy relative to the elements: -0.241 eV per atom
# - Density of states at the Fermi level: 1.22 states/eV/cell
# - Space-group type: F-43m (216)
# - Theoretical density: 11.44 Mg/m³
# - Calculated volume: 25.23 A^3/atom
# - Relative energy among the computed polymorphs: 29 meV/atom

[6]
# DyTm2Os (PBE, relaxed)
data_DyTm2Os
_chemical_formula_sum 'Dy2 Tm4 Os2'
_cell_length_a 3.956
_cell_length_b 6.207
_cell_length_c 8.880
_cell_angle_alpha 90.00
_cell_angle_beta 90.00
_cell_angle_gamma 108.57
_symmetry_space_group_name_H-M 'P 1'
_symmetry_Int_Tables_number 1
_symmetry_space_group_name_Hall 'P 1'
loop_
_atom_site_label
_atom_site_fract_x
_atom_site_fract_y
_atom_site_fract_z
Dy1 0.927 0.853 0.250
Dy2 0.073 0.147 0.750
Tm1 0.354 0.708 0.565
Tm2 0.646 0.292 0.435
Tm3 0.354 0.708 0.935
Tm4 0.646 0.292 0.065
Os1 0.742 0.485 0.750
Os2 0.258 0.515 0.250
# - Total moment: 0.0 μB/f.u.
# - Energy relative to the elements: -0.277 eV per atom
# - Density of states at the Fermi level: 6.88 states/eV/cell
# - Space-group type: Cmcm (63)
# - Theoretical density: 11.10 Mg/m³
# - Calculated volume: 25.84 A^3/atom
# - Relative energy among the computed polymorphs: 19 meV/atom

[7]
# Dy3Tm2Os2 (PBE, relaxed)
data_Dy3Tm2Os2
_chemical_formula_sum 'Dy3 Tm2 Os2'
_cell_length_a 3.950
_cell_length_b 6.263
_cell_length_c 8.174
_cell_angle_alpha 110.97
_cell_angle_beta 90.00
_cell_angle_gamma 108.38
_symmetry_space_group_name_H-M 'P 1'
_symmetry_Int_Tables_number 1
_symmetry_space_group_name_Hall 'P 1'
loop_
_atom_site_label
_atom_site_fract_x
_atom_site_fract_y
_atom_site_fract_z
Dy1 0.500 0.000 0.000
Dy2 0.625 0.249 0.433
Dy3 0.375 0.751 0.567
Tm1 0.832 0.665 0.180
Tm2 0.168 0.335 0.820
Os1 0.821 0.643 0.786
Os2 0.179 0.357 0.214
# - Total moment: 0.0 μB/f.u.
# - Energy relative to the elements: -0.263 eV per atom
# - Density of states at the Fermi level: 4.72 states/eV/cell
# - Space-group type: C2/m (12)
# - Theoretical density: 11.27 Mg/m³
# - Calculated volume: 25.39 A^3/atom

[8]
# DyTm3Os (PBE, relaxed)
data_DyTm3Os
_chemical_formula_sum 'Dy1 Tm3 Os1'
_cell_length_a 5.351
_cell_length_b 5.351
_cell_length_c 5.351
_cell_angle_alpha 90.00
_cell_angle_beta 90.00
_cell_angle_gamma 90.00
_symmetry_space_group_name_H-M 'P 1'
_symmetry_Int_Tables_number 1
_symmetry_space_group_name_Hall 'P 1'
loop_
_atom_site_label
_atom_site_fract_x
_atom_site_fract_y
_atom_site_fract_z
Tm1 0.000 0.500 0.000
Tm2 0.000 0.000 0.500
Tm3 0.500 0.000 0.000
Os1 0.000 0.000 0.000
Dy1 0.500 0.500 0.500
# - Total moment: 0.0 μB/f.u.
# - Energy relative to the elements: -0.001 eV per atom
# - Density of states at the Fermi level: 7.04 states/eV/cell
# - Space-group type: Pm-3m (221)
# - Theoretical density: 9.32 Mg/m³
# - Calculated volume: 30.64 A^3/atom
# - Relative energy among the computed polymorphs: 172 meV/atom

[9]
# DyTm3Os (PBE, relaxed)
data_DyTm3Os
_chemical_formula_sum 'Dy2 Tm6 Os2'
_cell_length_a 3.543
_cell_length_b 9.464
_cell_length_c 8.744
_cell_angle_alpha 105.59
_cell_angle_beta 101.69
_cell_angle_gamma 90.00
_symmetry_space_group_name_H-M 'P 1'
_symmetry_Int_Tables_number 1
_symmetry_space_group_name_Hall 'P 1'
loop_
_atom_site_label
_atom_site_fract_x
_atom_site_fract_y
_atom_site_fract_z
Dy1 0.693 0.309 0.386
Dy2 0.307 0.691 0.614
Tm1 0.001 0.175 0.002
Tm2 0.999 0.825 0.998
Tm3 0.315 0.129 0.629
Tm4 0.685 0.871 0.371
Tm5 0.098 0.542 0.197
Tm6 0.902 0.458 0.803
Os1 0.863 0.935 0.725
Os2 0.137 0.065 0.275
# - Total moment: 0.3 μB/f.u.
# - Energy relative to the elements: -0.003 eV per atom
# - Density of states at the Fermi level: 12.50 states/eV/cell
# - Space-group type: C2/m (12)
# - Theoretical density: 10.34 Mg/m³
# - Calculated volume: 27.61 A^3/atom
# - Relative energy among the computed polymorphs: 170 meV/atom

[10]
# DyTm2Os (PBE, relaxed)
data_DyTm2Os
_chemical_formula_sum 'Dy4 Tm8 Os4'
_cell_length_a 6.253
_cell_length_b 7.383
_cell_length_c 8.909
_cell_angle_alpha 90.00
_cell_angle_beta 90.00
_cell_angle_gamma 90.00
_symmetry_space_group_name_H-M 'P 1'
_symmetry_Int_Tables_number 1
_symmetry_space_group_name_Hall 'P 1'
loop_
_atom_site_label
_atom_site_fract_x
_atom_site_fract_y
_atom_site_fract_z
Dy1 0.626 0.538 0.250
Dy2 0.874 0.038 0.250
Dy3 0.374 0.462 0.750
Dy4 0.126 0.962 0.750
Tm1 0.164 0.674 0.062
Tm2 0.336 0.174 0.438
Tm3 0.836 0.326 0.562
Tm4 0.664 0.826 0.938
Tm5 0.836 0.326 0.938
Tm6 0.664 0.826 0.562
Tm7 0.164 0.674 0.438
Tm8 0.336 0.174 0.062
Os1 0.042 0.382 0.250
Os2 0.458 0.882 0.250
Os3 0.958 0.618 0.750
Os4 0.542 0.118 0.750
# - Total moment: 0.0 μB/f.u.
# - Energy relative to the elements: -0.296 eV per atom
# - Density of states at the Fermi level: 12.93 states/eV/cell
# - Space-group type: Pnma (62)
# - Theoretical density: 11.15 Mg/m³
# - Calculated volume: 25.70 A^3/atom
# - Relative energy among the computed polymorphs: 0 meV/atom

[11]
# DyTm2Os (PBE, relaxed)
data_DyTm2Os
_chemical_formula_sum 'Dy1 Tm2 Os1'
_cell_length_a 3.380
_cell_length_b 3.380
_cell_length_c 10.986
_cell_angle_alpha 81.15
_cell_angle_beta 81.15
_cell_angle_gamma 60.00
_symmetry_space_group_name_H-M 'P 1'
_symmetry_Int_Tables_number 1
_symmetry_space_group_name_Hall 'P 1'
loop_
_atom_site_label
_atom_site_fract_x
_atom_site_fract_y
_atom_site_fract_z
Tm1 0.105 0.105 0.685
Tm2 0.895 0.895 0.315
Os1 0.500 0.500 0.500
Dy1 0.000 0.000 0.000
# - Total moment: 0.1 μB/f.u.
# - Energy relative to the elements: 0.231 eV per atom
# - Density of states at the Fermi level: 6.67 states/eV/cell
# - Space-group type: R-3m (166)
# - Theoretical density: 10.72 Mg/m³
# - Calculated volume: 26.74 A^3/atom
# - Relative energy among the computed polymorphs: 527 meV/atom

[12]
# Dy2Tm3Os2 (PBE, relaxed)
data_Dy2Tm3Os2
_chemical_formula_sum 'Dy2 Tm3 Os2'
_cell_length_a 3.954
_cell_length_b 6.193
_cell_length_c 8.217
_cell_angle_alpha 111.56
_cell_angle_beta 90.00
_cell_angle_gamma 108.62
_symmetry_space_group_name_H-M 'P 1'
_symmetry_Int_Tables_number 1
_symmetry_space_group_name_Hall 'P 1'
loop_
_atom_site_label
_atom_site_fract_x
_atom_site_fract_y
_atom_site_fract_z
Dy1 0.836 0.673 0.187
Dy2 0.164 0.327 0.813
Tm1 0.500 0.000 0.000
Tm2 0.626 0.252 0.431
Tm3 0.374 0.748 0.569
Os1 0.825 0.649 0.785
Os2 0.175 0.351 0.215
# - Total moment: 0.0 μB/f.u.
# - Energy relative to the elements: -0.282 eV per atom
# - Density of states at the Fermi level: 4.88 states/eV/cell
# - Space-group type: C2/m (12)
# - Theoretical density: 11.45 Mg/m³
# - Calculated volume: 25.11 A^3/atom